BeCu2Mo | PBE | relaxed

Cell and atoms, written as POSCAR:
```
BeCu2Mo
1.0
-1.256 2.165 4.421
1.256 -2.165 4.421
1.256 2.165 -4.421
Be Cu Mo
1 2 1
direct
0.000 0.000 0.000
0.221 0.721 0.500
0.779 0.279 0.500
0.500 0.500 0.000
```

Output
Density ... 8016 kg/m3
Symmetry ... Immm, No. 71
Energy of formation ... 0.175 eV per atom